This record from Alexandria describes a relaxed structure of Pr8YEr2. The functional is PBE-GGA.

It has space group Immm (No. 71), with a = 5.749 Å, b = 8.386 Å, c = 16.154 Å, α = 90.00°, β = 90.00° and γ = 90.00°. Symmetry generates all atoms from Pr at (0.000, 0.000, 0.163), Pr at (0.000, 0.202, 0.363), Pr at (0.000, 0.295, 0.000), Y at (0.000, 0.500, 0.500) and Er at (0.000, 0.500, 0.202).

As for the energy of formation: 1.21 eV/f.u. The calculation puts the distance to the lowest polymorph of the same formula at 0 meV per atom.